Below is an optimized crystal structure of MgZrCr, with properties calculated at the PBE level.

Unit cell a=3.1632 b=4.3515 c=17.1071 alpha=90.00 beta=90.41 gamma=90.00
With the nearest neighbours (Å) after each atom.
Element x y z (fractional)
Mg1 0.7505 0.0000 0.2055  1 Cr 2.77, 4 Mg 3.08-3.10
Mg2 0.2495 0.0000 0.7945  1 Cr 2.77, 4 Mg 3.08-3.10
Mg3 0.7505 0.5000 0.7055  1 Cr 2.77, 4 Mg 3.08-3.10
Mg4 0.2495 0.5000 0.2945  1 Cr 2.77, 4 Mg 3.08-3.10
Zr1 0.7470 0.0000 0.4133  6 Cr 2.79-3.12
Zr2 0.2530 0.0000 0.5867  6 Cr 2.79-3.12
Zr3 0.7470 0.5000 0.9133  6 Cr 2.79-3.12
Zr4 0.2530 0.5000 0.0867  6 Cr 2.79-3.12
Cr1 0.7518 0.0000 0.0438  2 Cr 2.18
Cr2 0.2482 0.0000 0.9562  2 Cr 2.18
Cr3 0.7518 0.5000 0.5438  2 Cr 2.18
Cr4 0.2482 0.5000 0.4562  2 Cr 2.18

Properties
E above lowest polymorph in meV per atom: 85
Symmetry: C2/m
Spin magnetization in μB/f.u.: 0.00
Formation enthalpy at 0 K in meV per atom: 138



Below is an optimized crystal structure of In3TcSe, with properties calculated at the PBE level.

Unit cell a=5.3752 b=5.3752 c=5.3752 alpha=90.00 beta=90.00 gamma=90.00
With the nearest neighbours (Å) after each atom.
Element x y z (fractional)
Tc1 0.5000 0.5000 0.5000  12 In 3.80
Se1 0.0000 0.0000 0.0000  6 In 2.69
In1 0.0000 0.5000 0.0000  2 Se 2.69
In2 0.0000 0.0000 0.5000  2 Se 2.69
In3 0.5000 0.0000 0.0000  2 Se 2.69

Properties
Formation energy (no corrections) in eV/atom: 1.125
E above lowest polymorph in meV per atom: 674
Symmetry: Pm-3m
Spin magnetization in μB/f.u.: 3.40



Below is an optimized crystal structure of La5Nd4Y2, with properties calculated at the PBE level.

Unit cell a=3.6147 b=8.9217 c=12.4834 alpha=94.44 beta=98.32 gamma=90.00
With the nearest neighbours (Å) after each atom.
Element x y z (fractional)
La1 0.8168 0.5255 0.6336  5 La 3.61-3.90, 4 Nd 3.62-3.71, 2 Y 3.69
La2 0.1832 0.4745 0.3664  5 La 3.61-3.90, 4 Nd 3.62-3.71, 2 Y 3.69
La3 0.8685 0.9502 0.7369  4 Nd 3.59-3.67, 5 La 3.61-3.90, 2 Y 3.73
La4 0.5000 0.0000 0.0000  2 Y 3.58, 6 La 3.61-3.71, 4 Nd 3.66
La5 0.1315 0.0498 0.2631  4 Nd 3.59-3.67, 5 La 3.61-3.90, 2 Y 3.73
Nd1 0.2734 0.1739 0.5468  1 Y 3.56, 6 La 3.59-3.71, 4 Nd 3.61-3.70
Nd2 0.9599 0.6526 0.9198  3 Nd 3.49-3.61, 4 Y 3.61-3.70, 4 La 3.62-3.66
Nd3 0.7266 0.8261 0.4532  1 Y 3.56, 6 La 3.59-3.71, 4 Nd 3.61-3.70
Nd4 0.0401 0.3474 0.0802  3 Nd 3.49-3.61, 4 Y 3.61-3.70, 4 La 3.62-3.66
Y1 0.4134 0.3035 0.8269  5 Nd 3.56-3.70, 5 La 3.58-3.73, 2 Y 3.61
Y2 0.5866 0.6965 0.1731  5 Nd 3.56-3.70, 5 La 3.58-3.73, 2 Y 3.61

Properties
E above lowest polymorph in meV per atom: 0
Symmetry: C2/m
Spin magnetization in μB/f.u.: 0.00
Formation enthalpy at 0 K in meV per atom: 87